(1)
# PBE NaTe3Mo3, optimized geometry
data_NaTe3Mo3
_chemical_formula_sum 'Na2 Te6 Mo6'
_cell_length_a 9.3877
_cell_length_b 9.3877
_cell_length_c 4.6230
_cell_angle_alpha 90.00
_cell_angle_beta 90.00
_cell_angle_gamma 120.00
_space_group_name_H-M_alt 'P 63/m'
_space_group_IT_number 176
_space_group_name_Hall '-P 6c'
loop_
_atom_site_label
_atom_site_type_symbol
_atom_site_fract_x
_atom_site_fract_y
_atom_site_fract_z
_atom_site_occupancy
Na1 Na 0.3333 0.6667 0.2500 1
Te1 Te 0.0852 0.3834 0.7500 1
Mo1 Mo 0.0417 0.1807 0.2500 1
# Uncorrected energy = -6.59 eV per atom
# Raw formation energy = -0.412 eV/atom

=====

(2)
# PBE NaTeMo2, optimized geometry
data_NaTeMo2
_chemical_formula_sum 'Na4 Te4 Mo8'
_cell_length_a 8.0179
_cell_length_b 8.0179
_cell_length_c 5.2737
_cell_angle_alpha 90.00
_cell_angle_beta 90.00
_cell_angle_gamma 90.00
_space_group_name_H-M_alt 'I -4 2 d'
_space_group_IT_number 122
_space_group_name_Hall 'I -4 2bw'
loop_
_atom_site_label
_atom_site_type_symbol
_atom_site_fract_x
_atom_site_fract_y
_atom_site_fract_z
_atom_site_occupancy
Na1 Na 0.0000 0.0000 0.0000 1
Te1 Te 0.0000 0.0000 0.5000 1
Mo1 Mo 0.2044 0.2500 0.6250 1
# Uncorrected energy = -5.45 eV per atom
# Raw formation energy = 1.077 eV/atom

=====

(3)
# PBE NaTeMo3, optimized geometry
data_NaTeMo3
_chemical_formula_sum 'Na1 Te1 Mo3'
_cell_length_a 4.6675
_cell_length_b 4.6675
_cell_length_c 4.6675
_cell_angle_alpha 90.00
_cell_angle_beta 90.00
_cell_angle_gamma 90.00
_space_group_name_H-M_alt 'P m -3 m'
_space_group_IT_number 221
_space_group_name_Hall '-P 4 2 3'
loop_
_atom_site_label
_atom_site_type_symbol
_atom_site_fract_x
_atom_site_fract_y
_atom_site_fract_z
_atom_site_occupancy
Na1 Na 0.0000 0.0000 0.0000 1
Te1 Te 0.5000 0.5000 0.5000 1
Mo1 Mo 0.0000 0.0000 0.5000 1
# Uncorrected energy = -4.94 eV per atom
# Raw formation energy = 2.446 eV/atom
# Distance to the lowest polymorph of the same formula = 0.6020 eV per atom

=====

(4)
# PBE Na2TeMo, optimized geometry
data_Na2TeMo
_chemical_formula_sum 'Na8 Te4 Mo4'
_cell_length_a 9.0802
_cell_length_b 9.0802
_cell_length_c 5.6061
_cell_angle_alpha 90.00
_cell_angle_beta 90.00
_cell_angle_gamma 90.00
_space_group_name_H-M_alt 'I -4 2 d'
_space_group_IT_number 122
_space_group_name_Hall 'I -4 2bw'
loop_
_atom_site_label
_atom_site_type_symbol
_atom_site_fract_x
_atom_site_fract_y
_atom_site_fract_z
_atom_site_occupancy
Na1 Na 0.2162 0.2500 0.1250 1
Te1 Te 0.0000 0.0000 0.0000 1
Mo1 Mo 0.0000 0.0000 0.5000 1
# Uncorrected energy = -3.56 eV per atom
# Raw formation energy = 0.591 eV/atom